Arrangement A

DFT (PBE) results for an optimized crystal structure of Co2SiPb.

```
Co2SiPb
1.0
3.249 -1.881 0.000
3.249 1.881 0.000
-1.966 0.000 5.136
Co Si Pb
2 1 1
Direct
0.208 0.208 0.138
0.792 0.792 0.862
0.500 0.500 0.000
0.000 0.000 0.500
```

The calculation puts the density at 9.3 Mg/m³. As for the space group: C2/m. For the density of states at the Fermi level, the calculation gives 3.9 states/eV/f.u. The calculation puts the spin magnetization at 0.00 μB/f.u.

Arrangement B

DFT (PBE) results for an optimized crystal structure of Co2SiPb.

```
Co2SiPb
1.0
-1.800 2.402 3.442
1.800 -2.402 3.442
1.800 2.402 -3.442
Co Si Pb
2 1 1
Direct
0.199 0.199 0.000
0.801 0.801 0.000
0.000 0.500 0.500
0.500 0.000 0.500
```

The calculation puts the density at 9.9 Mg/m³. As for the space group: Immm. For the density of states at the Fermi level, the calculation gives 2.4 states/eV/f.u. The calculation puts the spin magnetization at 0.00 μB/f.u.

Arrangement C

DFT (PBE) results for an optimized crystal structure of Co2SiPb.

```
Co2SiPb
1.0
1.836 1.060 5.334
-1.836 1.060 5.334
0.000 -2.120 5.334
Co Si Pb
2 1 1
Direct
0.000 0.000 0.000
0.229 0.229 0.229
0.619 0.619 0.619
0.443 0.443 0.443
```

The calculation puts the density at 9.4 Mg/m³. As for the space group: R3m. For the density of states at the Fermi level, the calculation gives 2.0 states/eV/f.u. The calculation puts the spin magnetization at 0.00 μB/f.u.

So which one is most stable? That would be arrangement C, about 30 meV per atom below the next structure.